# PBE-GGA PmPrLu2, relaxed
# Density of states at the Fermi level, states/eV per atom: 1.5074
# Magnetic moment, μB per formula unit: 0.00
# DFT formation energy, eV per formula unit: 0.33
# Space group: No. 225
data_PmPrLu2
_chemical_formula_sum 'Pm1 Pr1 Lu2'
_cell_length_a 5.688
_cell_length_b 5.688
_cell_length_c 5.688
_cell_angle_alpha 60.00
_cell_angle_beta 60.00
_cell_angle_gamma 60.00
_space_group_name_H-M_alt 'P 1'
_space_group_IT_number 1
loop_
_space_group_symop_operation_xyz
'x,y,z'
loop_
_atom_site_label
_atom_site_type_symbol
_atom_site_fract_x
_atom_site_fract_y
_atom_site_fract_z
Pr1 Pr 0.500 0.500 0.500
Lu1 Lu 0.250 0.250 0.250
Lu2 Lu 0.750 0.750 0.750
Pm1 Pm 0.000 0.000 0.000

# PBE-GGA PmPrLuRu, relaxed
# Density of states at the Fermi level, states/eV per atom: 1.4293
# Magnetic moment, μB per formula unit: 0.00
# DFT formation energy, eV per formula unit: 0.68
# Space group: No. 216
data_PmPrLuRu
_chemical_formula_sum 'Pm1 Pr1 Lu1 Ru1'
_cell_length_a 5.262
_cell_length_b 5.262
_cell_length_c 5.262
_cell_angle_alpha 60.00
_cell_angle_beta 60.00
_cell_angle_gamma 60.00
_space_group_name_H-M_alt 'P 1'
_space_group_IT_number 1
loop_
_space_group_symop_operation_xyz
'x,y,z'
loop_
_atom_site_label
_atom_site_type_symbol
_atom_site_fract_x
_atom_site_fract_y
_atom_site_fract_z
Pr1 Pr 0.000 0.000 0.000
Ru1 Ru 0.250 0.250 0.250
Lu1 Lu 0.750 0.750 0.750
Pm1 Pm 0.500 0.500 0.500

# PBE-GGA PmPrTmLu, relaxed
# Density of states at the Fermi level, states/eV per atom: 1.5733
# Magnetic moment, μB per formula unit: 0.01
# DFT formation energy, eV per formula unit: 0.35
# Space group: No. 216
data_PmPrTmLu
_chemical_formula_sum 'Pm1 Pr1 Tm1 Lu1'
_cell_length_a 5.698
_cell_length_b 5.698
_cell_length_c 5.698
_cell_angle_alpha 60.00
_cell_angle_beta 60.00
_cell_angle_gamma 60.00
_space_group_name_H-M_alt 'P 1'
_space_group_IT_number 1
loop_
_space_group_symop_operation_xyz
'x,y,z'
loop_
_atom_site_label
_atom_site_type_symbol
_atom_site_fract_x
_atom_site_fract_y
_atom_site_fract_z
Pr1 Pr 0.250 0.250 0.250
Lu1 Lu 0.000 0.000 0.000
Tm1 Tm 0.500 0.500 0.500
Pm1 Pm 0.750 0.750 0.750

What is the DFT formation energy in the third record?
0.35 eV per formula unit